# 1
# Pu2Ge2Au, optimized geometry, DFT GGA-PBE
data_Pu2Ge2Au
_symmetry_space_group_name_H-M 'P 1'
_symmetry_Int_Tables_number 1
_cell_length_a 7.0207
_cell_length_b 7.0207
_cell_length_c 8.9314
_cell_angle_alpha 90.00
_cell_angle_beta 90.00
_cell_angle_gamma 90.00
loop_
_symmetry_equiv_pos_as_xyz
'x,y,z'
loop_
_atom_site_label
_atom_site_type_symbol
_atom_site_fract_x
_atom_site_fract_y
_atom_site_fract_z
Pu1 Pu 0.1651 0.3348 0.0000
Pu2 Pu 0.1652 0.3349 0.5000
Pu3 Pu 0.3348 0.8349 0.0000
Pu4 Pu 0.3349 0.8348 0.5000
Pu5 Pu 0.6652 0.1651 0.0000
Pu6 Pu 0.6651 0.1652 0.5000
Pu7 Pu 0.8349 0.6652 0.0000
Pu8 Pu 0.8348 0.6651 0.5000
Ge1 Ge 0.1342 0.6342 0.2500
Ge2 Ge 0.1342 0.6342 0.7500
Ge3 Ge 0.3658 0.1342 0.2500
Ge4 Ge 0.3658 0.1342 0.7500
Ge5 Ge 0.6342 0.8658 0.2500
Ge6 Ge 0.6342 0.8658 0.7500
Ge7 Ge 0.8658 0.3658 0.2500
Ge8 Ge 0.8658 0.3658 0.7500
Au1 Au 0.0000 0.0000 0.2503
Au2 Au 0.0000 0.0000 0.7497
Au3 Au 0.5000 0.5000 0.2497
Au4 Au 0.5000 0.5000 0.7503
# - SG = P4/mnc
# - M_tot (μB per cell) = 45.27
# - N(E_F) (states/eV per cell) = 59.15
# - E_form (eV/atom) = -0.453
# - E_tot (eV per cell) = -173.761

# 2
# Ca2MnMo, optimized geometry, DFT GGA-PBE
data_Ca2MnMo
_symmetry_space_group_name_H-M 'P 1'
_symmetry_Int_Tables_number 1
_cell_length_a 3.3948
_cell_length_b 3.5445
_cell_length_c 17.1921
_cell_angle_alpha 90.00
_cell_angle_beta 90.00
_cell_angle_gamma 90.00
loop_
_symmetry_equiv_pos_as_xyz
'x,y,z'
loop_
_atom_site_label
_atom_site_type_symbol
_atom_site_fract_x
_atom_site_fract_y
_atom_site_fract_z
Ca1 Ca 0.0000 0.0000 0.1546
Ca2 Ca 0.0000 0.0000 0.8454
Ca3 Ca 0.5000 0.5000 0.3454
Ca4 Ca 0.5000 0.5000 0.6546
Mn1 Mn 0.0000 0.5000 0.5000
Mn2 Mn 0.5000 0.0000 0.0000
Mo1 Mo 0.0000 0.5000 0.0000
Mo2 Mo 0.5000 0.0000 0.5000
# - SG = Immm
# - M_tot (μB per cell) = 3.55
# - N(E_F) (states/eV per cell) = 9.58
# - polymorph energy (0 for the lowest one) (eV/atom) = 0.161
# - E_form (eV/atom) = 0.528
# - E_tot (eV per cell) = -43.783

# 3
# NdHoNp2S4, optimized geometry, DFT GGA-PBE
data_NdHoNp2S4
_symmetry_space_group_name_H-M 'P 1'
_symmetry_Int_Tables_number 1
_cell_length_a 6.7906
_cell_length_b 3.9497
_cell_length_c 6.8794
_cell_angle_alpha 90.00
_cell_angle_beta 109.64
_cell_angle_gamma 90.00
loop_
_symmetry_equiv_pos_as_xyz
'x,y,z'
loop_
_atom_site_label
_atom_site_type_symbol
_atom_site_fract_x
_atom_site_fract_y
_atom_site_fract_z
Nd1 Nd 0.0000 0.0000 0.0000
Ho1 Ho 0.0000 0.5000 0.5000
Np1 Np 0.5000 0.0000 0.5000
Np2 Np 0.5000 0.5000 0.0000
S1 S 0.2516 0.0000 0.7446
S2 S 0.2574 0.5000 0.2611
S3 S 0.7426 0.5000 0.7389
S4 S 0.7484 0.0000 0.2554
# - SG = P2/m
# - raw formation energy (meV/atom) = -1665
# - M_tot (μB per cell) = 0.16
# - N(E_F) (states/eV per cell) = 19.51
# - E_tot (eV per cell) = -65.057

# 4
# Ta2TlZn, optimized geometry, DFT GGA-PBE
data_Ta2TlZn
_symmetry_space_group_name_H-M 'P 1'
_symmetry_Int_Tables_number 1
_cell_length_a 3.0108
_cell_length_b 4.2832
_cell_length_c 5.9789
_cell_angle_alpha 90.00
_cell_angle_beta 103.20
_cell_angle_gamma 90.00
loop_
_symmetry_equiv_pos_as_xyz
'x,y,z'
loop_
_atom_site_label
_atom_site_type_symbol
_atom_site_fract_x
_atom_site_fract_y
_atom_site_fract_z
Ta1 Ta 0.0000 0.0000 0.0000
Ta2 Ta 0.3049 0.5000 0.7433
Tl1 Tl 0.6091 0.5000 0.2590
Zn1 Zn 0.7075 0.0000 0.5387
# - SG = Pm
# - M_tot (μB per cell) = 0.00
# - N(E_F) (states/eV per cell) = 2.25
# - E_form (eV/atom) = 0.333
# - E_tot (eV per cell) = -26.012

# 5
# Tb6PmSm2Dy3, optimized geometry, DFT GGA-PBE
data_Tb6PmSm2Dy3
_symmetry_space_group_name_H-M 'P 1'
_symmetry_Int_Tables_number 1
_cell_length_a 6.1893
_cell_length_b 6.1893
_cell_length_c 11.8443
_cell_angle_alpha 94.97
_cell_angle_beta 94.97
_cell_angle_gamma 119.96
loop_
_symmetry_equiv_pos_as_xyz
'x,y,z'
loop_
_atom_site_label
_atom_site_type_symbol
_atom_site_fract_x
_atom_site_fract_y
_atom_site_fract_z
Tb1 Tb 0.0817 0.4151 0.2475
Tb2 Tb 0.2514 0.2514 0.7525
Tb3 Tb 0.4151 0.0817 0.2475
Tb4 Tb 0.5849 0.9183 0.7525
Tb5 Tb 0.7486 0.7486 0.2475
Tb6 Tb 0.9183 0.5849 0.7525
Pm1 Pm 0.5000 0.5000 0.5000
Sm1 Sm 0.1666 0.8334 0.5000
Sm2 Sm 0.8334 0.1666 0.5000
Dy1 Dy 0.0000 0.0000 0.0000
Dy2 Dy 0.3332 0.6668 0.0000
Dy3 Dy 0.6668 0.3332 0.0000
# - SG = C2/m
# - M_tot (μB per cell) = 0.00
# - N(E_F) (states/eV per cell) = 15.38
# - E_form (eV/atom) = 0.014
# - E_tot (eV per cell) = -55.604

# 6
# CeNdBi2, optimized geometry, DFT GGA-PBE
data_CeNdBi2
_symmetry_space_group_name_H-M 'P 1'
_symmetry_Int_Tables_number 1
_cell_length_a 4.6050
_cell_length_b 4.6050
_cell_length_c 22.5670
_cell_angle_alpha 90.00
_cell_angle_beta 90.00
_cell_angle_gamma 120.00
loop_
_symmetry_equiv_pos_as_xyz
'x,y,z'
loop_
_atom_site_label
_atom_site_type_symbol
_atom_site_fract_x
_atom_site_fract_y
_atom_site_fract_z
Ce1 Ce 0.0000 0.0000 0.0000
Ce2 Ce 0.3333 0.6667 0.6667
Ce3 Ce 0.6667 0.3333 0.3333
Nd1 Nd 0.0000 0.0000 0.5000
Nd2 Nd 0.3333 0.6667 0.1667
Nd3 Nd 0.6667 0.3333 0.8333
Bi1 Bi 0.0000 0.0000 0.2508
Bi2 Bi 0.0000 0.0000 0.7492
Bi3 Bi 0.3333 0.6667 0.4159
Bi4 Bi 0.3333 0.6667 0.9175
Bi5 Bi 0.6667 0.3333 0.0825
Bi6 Bi 0.6667 0.3333 0.5841
# - SG = R-3m
# - M_tot (μB per cell) = 2.51
# - N(E_F) (states/eV per cell) = 20.06
# - polymorph energy (0 for the lowest one) (eV/atom) = 0.000
# - E_form (eV/atom) = -0.875
# - E_tot (eV per cell) = -65.890

# 7
# Cs5Cd4In, optimized geometry, DFT GGA-PBE
data_Cs5Cd4In
_symmetry_space_group_name_H-M 'P 1'
_symmetry_Int_Tables_number 1
_cell_length_a 12.4341
_cell_length_b 12.4341
_cell_length_c 9.6670
_cell_angle_alpha 111.02
_cell_angle_beta 111.02
_cell_angle_gamma 24.10
loop_
_symmetry_equiv_pos_as_xyz
'x,y,z'
loop_
_atom_site_label
_atom_site_type_symbol
_atom_site_fract_x
_atom_site_fract_y
_atom_site_fract_z
Cs1 Cs 0.0000 0.0000 0.0000
Cs2 Cs 0.3008 0.3008 0.7087
Cs3 Cs 0.3657 0.3657 0.2344
Cs4 Cs 0.6343 0.6343 0.7656
Cs5 Cs 0.6992 0.6992 0.2913
Cd1 Cd 0.1141 0.1141 0.4370
Cd2 Cd 0.4597 0.4597 0.6315
Cd3 Cd 0.5403 0.5403 0.3685
Cd4 Cd 0.8859 0.8859 0.5630
In1 In 0.0000 0.0000 0.5000
# - SG = C2/m
# - M_tot (μB per cell) = 0.00
# - N(E_F) (states/eV per cell) = 7.51
# - E_form (eV/atom) = -0.042
# - E_tot (eV per cell) = -11.085

# 8
# Pa2GeSb, optimized geometry, DFT GGA-PBE
data_Pa2GeSb
_symmetry_space_group_name_H-M 'P 1'
_symmetry_Int_Tables_number 1
_cell_length_a 3.6141
_cell_length_b 3.6141
_cell_length_c 7.2993
_cell_angle_alpha 90.00
_cell_angle_beta 90.00
_cell_angle_gamma 90.00
loop_
_symmetry_equiv_pos_as_xyz
'x,y,z'
loop_
_atom_site_label
_atom_site_type_symbol
_atom_site_fract_x
_atom_site_fract_y
_atom_site_fract_z
Pa1 Pa 0.0000 0.0000 0.2333
Pa2 Pa 0.0000 0.0000 0.7667
Ge1 Ge 0.5000 0.5000 0.0000
Sb1 Sb 0.5000 0.5000 0.5000
# - SG = P4/mmm
# - raw formation energy (meV/atom) = -377
# - M_tot (μB per cell) = 0.57
# - N(E_F) (states/eV per cell) = 6.09
# - polymorph energy (0 for the lowest one) (eV/atom) = 0.089
# - E_tot (eV per cell) = -29.239

# 9
# FeHgBr2, optimized geometry, DFT GGA-PBE
data_FeHgBr2
_symmetry_space_group_name_H-M 'P 1'
_symmetry_Int_Tables_number 1
_cell_length_a 7.3051
_cell_length_b 7.3051
_cell_length_c 7.3051
_cell_angle_alpha 90.00
_cell_angle_beta 90.00
_cell_angle_gamma 90.00
loop_
_symmetry_equiv_pos_as_xyz
'x,y,z'
loop_
_atom_site_label
_atom_site_type_symbol
_atom_site_fract_x
_atom_site_fract_y
_atom_site_fract_z
Fe1 Fe 0.0000 0.0000 0.0000
Fe2 Fe 0.0000 0.5000 0.5000
Fe3 Fe 0.5000 0.0000 0.5000
Fe4 Fe 0.5000 0.5000 0.0000
Hg1 Hg 0.2500 0.2500 0.7500
Hg2 Hg 0.2500 0.7500 0.2500
Hg3 Hg 0.7500 0.2500 0.2500
Hg4 Hg 0.7500 0.7500 0.7500
Br1 Br 0.0000 0.0000 0.5000
Br2 Br 0.0000 0.5000 0.0000
Br3 Br 0.2500 0.2500 0.2500
Br4 Br 0.2500 0.7500 0.7500
Br5 Br 0.5000 0.0000 0.0000
Br6 Br 0.5000 0.5000 0.5000
Br7 Br 0.7500 0.2500 0.7500
Br8 Br 0.7500 0.7500 0.2500
# - SG = F-43m
# - raw formation energy (meV/atom) = 579
# - M_tot (μB per cell) = 15.55
# - N(E_F) (states/eV per cell) = 30.88
# - polymorph energy (0 for the lowest one) (eV/atom) = 0.778
# - E_tot (eV per cell) = -39.177

# 10
# Pm6ScGe4, optimized geometry, DFT GGA-PBE
data_Pm6ScGe4
_symmetry_space_group_name_H-M 'P 1'
_symmetry_Int_Tables_number 1
_cell_length_a 9.3070
_cell_length_b 9.3070
_cell_length_c 4.0141
_cell_angle_alpha 90.00
_cell_angle_beta 90.00
_cell_angle_gamma 120.00
loop_
_symmetry_equiv_pos_as_xyz
'x,y,z'
loop_
_atom_site_label
_atom_site_type_symbol
_atom_site_fract_x
_atom_site_fract_y
_atom_site_fract_z
Pm1 Pm 0.1942 0.3884 0.0000
Pm2 Pm 0.1942 0.8058 0.0000
Pm3 Pm 0.5414 0.0829 0.5000
Pm4 Pm 0.5414 0.4586 0.5000
Pm5 Pm 0.6116 0.8058 0.0000
Pm6 Pm 0.9171 0.4586 0.5000
Sc1 Sc 0.0000 0.0000 0.5000
Ge1 Ge 0.3198 0.1599 0.0000
Ge2 Ge 0.3333 0.6667 0.5000
Ge3 Ge 0.8401 0.1599 0.0000
Ge4 Ge 0.8401 0.6802 0.0000
# - SG = P-6m2
# - M_tot (μB per cell) = 0.12
# - N(E_F) (states/eV per cell) = 13.22
# - E_form (eV/atom) = -0.498
# - E_tot (eV per cell) = -58.779

# 11
# CaNdTl, optimized geometry, DFT GGA-PBE
data_CaNdTl
_symmetry_space_group_name_H-M 'P 1'
_symmetry_Int_Tables_number 1
_cell_length_a 9.5040
_cell_length_b 9.6306
_cell_length_c 5.3697
_cell_angle_alpha 90.00
_cell_angle_beta 90.00
_cell_angle_gamma 90.00
loop_
_symmetry_equiv_pos_as_xyz
'x,y,z'
loop_
_atom_site_label
_atom_site_type_symbol
_atom_site_fract_x
_atom_site_fract_y
_atom_site_fract_z
Ca1 Ca 0.0000 0.1839 0.0000
Ca2 Ca 0.0000 0.8161 0.0000
Ca3 Ca 0.5000 0.3161 0.0000
Ca4 Ca 0.5000 0.6839 0.0000
Nd1 Nd 0.1771 0.5000 0.5000
Nd2 Nd 0.3229 0.0000 0.5000
Nd3 Nd 0.6771 0.0000 0.5000
Nd4 Nd 0.8229 0.5000 0.5000
Tl1 Tl 0.0000 0.0000 0.5000
Tl2 Tl 0.0000 0.5000 0.0000
Tl3 Tl 0.5000 0.0000 0.0000
Tl4 Tl 0.5000 0.5000 0.5000
# - SG = Cmmm
# - M_tot (μB per cell) = 0.00
# - N(E_F) (states/eV per cell) = 11.14
# - polymorph energy (0 for the lowest one) (eV/atom) = 0.408
# - E_form (eV/atom) = 0.038
# - E_tot (eV per cell) = -36.086

# 12
# Li2AlAg, optimized geometry, DFT GGA-PBE
data_Li2AlAg
_symmetry_space_group_name_H-M 'P 1'
_symmetry_Int_Tables_number 1
_cell_length_a 5.6207
_cell_length_b 8.0674
_cell_length_c 2.8614
_cell_angle_alpha 90.00
_cell_angle_beta 90.00
_cell_angle_gamma 90.00
loop_
_symmetry_equiv_pos_as_xyz
'x,y,z'
loop_
_atom_site_label
_atom_site_type_symbol
_atom_site_fract_x
_atom_site_fract_y
_atom_site_fract_z
Li1 Li 0.2500 0.2500 0.0000
Li2 Li 0.2500 0.7500 0.0000
Li3 Li 0.7500 0.2500 0.0000
Li4 Li 0.7500 0.7500 0.0000
Al1 Al 0.0000 0.0000 0.5000
Al2 Al 0.5000 0.5000 0.5000
Ag1 Ag 0.0000 0.5000 0.5000
Ag2 Ag 0.5000 0.0000 0.5000
# - SG = Cmmm
# - M_tot (μB per cell) = 0.00
# - N(E_F) (states/eV per cell) = 2.65
# - E_form (eV/atom) = -0.165
# - E_tot (eV per cell) = -22.160

- Look up the N(E_F) of the fifth one.
  15.38 states/eV per cell

Copy entry 3 word for word.
# NdHoNp2S4, optimized geometry, DFT GGA-PBE
data_NdHoNp2S4
_symmetry_space_group_name_H-M 'P 1'
_symmetry_Int_Tables_number 1
_cell_length_a 6.7906
_cell_length_b 3.9497
_cell_length_c 6.8794
_cell_angle_alpha 90.00
_cell_angle_beta 109.64
_cell_angle_gamma 90.00
loop_
_symmetry_equiv_pos_as_xyz
'x,y,z'
loop_
_atom_site_label
_atom_site_type_symbol
_atom_site_fract_x
_atom_site_fract_y
_atom_site_fract_z
Nd1 Nd 0.0000 0.0000 0.0000
Ho1 Ho 0.0000 0.5000 0.5000
Np1 Np 0.5000 0.0000 0.5000
Np2 Np 0.5000 0.5000 0.0000
S1 S 0.2516 0.0000 0.7446
S2 S 0.2574 0.5000 0.2611
S3 S 0.7426 0.5000 0.7389
S4 S 0.7484 0.0000 0.2554
# - SG = P2/m
# - raw formation energy (meV/atom) = -1665
# - M_tot (μB per cell) = 0.16
# - N(E_F) (states/eV per cell) = 19.51
# - E_tot (eV per cell) = -65.057

- What is the formula in the tenth record?
  Pm6ScGe4

- Which of these has the highest N(E_F)?
  Pu2Ge2Au